Run A
CaTa2Cu: PBEsol geometry, meta-GGA SCAN.

a b c (Å): 2.932 4.764 6.016
angles (deg): 113.32 104.11 90.00
Atoms (fractional coordinates):
Ta 0.716 0.716 0.431
Ta 0.284 0.284 0.569
Cu 0.000 0.500 0.000
Ca 0.500 0.000 0.000

***

Run B
CaTa2Cu: PBEsol geometry, meta-GGA SCAN.

a b c (Å): 3.882 3.882 4.971
angles (deg): 90.00 90.00 90.00
Atoms (fractional coordinates):
Ta 0.000 0.500 0.000
Ta 0.500 0.000 0.000
Ca 0.500 0.500 0.500
Cu 0.000 0.000 0.500

***

Top of the stability list: run A, leading by 0.356 eV/atom.

***

Run A
CaTa2Cu: PBEsol geometry, meta-GGA SCAN.

a b c (Å): 2.831 2.831 9.181
angles (deg): 90.00 90.00 87.75
Atoms (fractional coordinates):
Ta 0.000 0.000 0.801
Ta 0.000 0.000 0.199
Ca 0.500 0.500 0.500
Cu 0.500 0.500 0.000

***

Run B
CaTa2Cu: PBEsol geometry, meta-GGA SCAN.

a b c (Å): 2.909 2.909 10.140
angles (deg): 81.75 81.75 60.00
Atoms (fractional coordinates):
Cu 0.000 0.000 0.000
Ta 0.739 0.739 0.782
Ta 0.261 0.261 0.218
Ca 0.500 0.500 0.500

***

Top of the stability list: run A, leading by 0.161 eV/atom.